Density functional theory data (PBE-GGA) for RuWBr after structural relaxation.

Computed properties:
For the relative energy among the computed polymorphs, the calculation gives 383 meV/atom. Its calculated total energy is -0.25921 Ha/atom.

abc: 4.3485 4.3485 2.9588
angles: 90.00 90.00 120.00
Space group P-6m2 (No. 187)
Unique sites:
Ru: 0.0000 0.0000 0.0000
W: 0.6667 0.3333 0.5000
Br: 0.3333 0.6667 0.5000

***

Density functional theory data (PBE-GGA) for RuWBr after structural relaxation.

Computed properties:
For the relative energy among the computed polymorphs, the calculation gives 254 meV/atom. Its calculated total energy is -0.26394 Ha/atom.

abc: 3.2290 5.2733 13.2612
angles: 90.00 90.00 90.00
Space group Fmm2 (No. 42)
Unique sites:
Ru: 0.0000 0.0000 0.0000
W: 0.0000 0.0000 0.6334
Br: 0.0000 0.0000 0.3045

***

Density functional theory data (PBE-GGA) for RuWBr2 after structural relaxation.

Computed properties:
For the relative energy among the computed polymorphs, the calculation gives 881 meV/atom. Its calculated total energy is -0.20048 Ha/atom.

abc: 3.1264 3.1264 26.0210
angles: 90.00 90.00 120.00
Space group R-3m (No. 166, hexagonal axes)
Unique sites:
Ru: 0.0000 0.0000 0.0000
W: 0.0000 0.0000 0.5000
Br: 0.0000 0.0000 0.0925